Record 1
Here is PuHgTeO6 after structural relaxation from Alexandria via LeMat-Bulk. Energies are from PBE-GGA.

Summary:
As for the formation energy without anion corrections: -12.56 eV per formula unit. The calculation puts the density of states at the Fermi level at 12.3 states/eV per cell.

Cell: 5.708 5.708 9.713 Å, 90.00 90.00 120.00°
Fractional coordinates of all 18 atoms:
Pu1 0.333 0.667 0.250
Pu2 0.667 0.333 0.750
Hg1 0.000 0.000 0.000
Hg2 0.000 0.000 0.500
Te1 0.333 0.667 0.750
Te2 0.667 0.333 0.250
O1 0.007 0.365 0.138
O2 0.007 0.642 0.362
O3 0.358 0.365 0.362
O4 0.358 0.993 0.138
O5 0.365 0.007 0.638
O6 0.365 0.358 0.862
O7 0.635 0.642 0.138
O8 0.635 0.993 0.362
O9 0.642 0.007 0.862
O10 0.642 0.635 0.638
O11 0.993 0.358 0.638
O12 0.993 0.635 0.862

***

Record 2
Here is PuTiHgO6 after structural relaxation from Alexandria via LeMat-Bulk. Energies are from PBE-GGA.

Summary:
As for the formation energy without anion corrections: -19.00 eV per formula unit. The calculation puts the density of states at the Fermi level at 12.5 states/eV per cell.

Cell: 5.431 5.431 9.777 Å, 90.00 90.00 120.00°
Fractional coordinates of all 18 atoms:
Pu1 0.333 0.667 0.250
Pu2 0.667 0.333 0.750
Ti1 0.333 0.667 0.750
Ti2 0.667 0.333 0.250
Hg1 0.000 0.000 0.000
Hg2 0.000 0.000 0.500
O1 0.011 0.371 0.642
O2 0.011 0.640 0.858
O3 0.360 0.371 0.858
O4 0.360 0.989 0.642
O5 0.371 0.011 0.142
O6 0.371 0.360 0.358
O7 0.629 0.640 0.642
O8 0.629 0.989 0.858
O9 0.640 0.011 0.358
O10 0.640 0.629 0.142
O11 0.989 0.360 0.142
O12 0.989 0.629 0.358

***

Record 3
Here is PuTlHg2O6 after structural relaxation from Alexandria via LeMat-Bulk. Energies are from PBE-GGA.

Summary:
As for the formation energy without anion corrections: -11.91 eV per formula unit. The calculation puts the density of states at the Fermi level at 0.2 states/eV per cell.

Cell: 6.133 6.152 6.207 Å, 90.05 119.53 119.80°
Fractional coordinates of all 10 atoms:
Pu1 0.000 0.000 0.000
Tl1 0.000 0.500 0.500
Hg1 0.461 0.233 0.692
Hg2 0.539 0.767 0.308
O1 0.124 0.942 0.768
O2 0.174 0.820 0.232
O3 0.413 0.354 0.234
O4 0.587 0.646 0.766
O5 0.826 0.180 0.768
O6 0.876 0.058 0.232

***

Record 4
Here is PuTl2HgO8 after structural relaxation from Alexandria via LeMat-Bulk. Energies are from PBE-GGA.

Summary:
As for the formation energy without anion corrections: -12.69 eV per formula unit. The calculation puts the density of states at the Fermi level at 3.2 states/eV per cell.

Cell: 5.207 5.218 7.095 Å, 93.32 93.37 94.83°
Fractional coordinates of all 12 atoms:
Pu1 0.000 0.000 0.000
Tl1 0.494 0.494 0.748
Tl2 0.506 0.506 0.252
Hg1 0.000 0.000 0.500
O1 0.169 0.821 0.808
O2 0.183 0.835 0.192
O3 0.300 0.303 0.504
O4 0.304 0.308 0.012
O5 0.696 0.692 0.988
O6 0.700 0.697 0.496
O7 0.817 0.165 0.808
O8 0.831 0.179 0.192

***

Record 5
Here is Pu2Tl3HgO9 after structural relaxation from Alexandria via LeMat-Bulk. Energies are from PBE-GGA.

Summary:
As for the formation energy without anion corrections: -23.82 eV per formula unit. The calculation puts the density of states at the Fermi level at 6.4 states/eV per cell.

Cell: 6.135 6.135 7.606 Å, 90.00 90.00 120.00°
Fractional coordinates of all 15 atoms:
Pu1 0.333 0.667 0.158
Pu2 0.667 0.333 0.842
Tl1 0.000 0.000 0.000
Tl2 0.333 0.667 0.650
Tl3 0.667 0.333 0.350
Hg1 0.000 0.000 0.500
O1 0.000 0.500 0.000
O2 0.180 0.361 0.308
O3 0.180 0.820 0.308
O4 0.361 0.180 0.692
O5 0.500 0.000 0.000
O6 0.500 0.500 0.000
O7 0.639 0.820 0.308
O8 0.820 0.180 0.692
O9 0.820 0.639 0.692

***

Record 6
Here is Pu3Tl4HgO12 after structural relaxation from Alexandria via LeMat-Bulk. Energies are from PBE-GGA.

Summary:
As for the formation energy without anion corrections: -35.57 eV per formula unit. The calculation puts the density of states at the Fermi level at 5.3 states/eV per cell.

Cell: 7.530 7.530 7.530 Å, 109.47 109.47 109.47°
Fractional coordinates of all 20 atoms:
Pu1 0.000 0.500 0.500
Pu2 0.500 0.000 0.500
Pu3 0.500 0.500 0.000
Tl1 0.000 0.000 0.500
Tl2 0.000 0.500 0.000
Tl3 0.500 0.000 0.000
Tl4 0.500 0.500 0.500
Hg1 0.000 0.000 0.000
O1 0.000 0.278 0.278
O2 0.000 0.722 0.722
O3 0.250 0.500 0.750
O4 0.250 0.750 0.500
O5 0.278 0.000 0.278
O6 0.278 0.278 0.000
O7 0.500 0.250 0.750
O8 0.500 0.750 0.250
O9 0.722 0.000 0.722
O10 0.722 0.722 0.000
O11 0.750 0.250 0.500
O12 0.750 0.500 0.250